# 1
Here is a geometry-optimized B2SbAuSe structure from Alexandria. Energies are from PBEsol.

abc: 4.0594 4.0594 6.2471
angles: 90.00 90.00 90.00
Positions (direct):
B  0.0000  0.5000  0.0000
B  0.5000  0.0000  0.0000
Sb  0.0000  0.0000  0.5000
Au  0.5000  0.5000  0.0000
Se  0.5000  0.5000  0.5000

Electronic total energy ... -4.22 eV per atom
Energy relative to the elements, uncorrected ... 5.3 eV/f.u.

# 2
Here is a geometry-optimized BSb2TeAu structure from Alexandria. Energies are from PBEsol.

abc: 4.6861 4.6861 4.8838
angles: 90.00 90.00 90.00
Positions (direct):
B  0.0000  0.0000  0.0000
Sb  0.0000  0.5000  0.0000
Sb  0.5000  0.0000  0.0000
Te  0.0000  0.0000  0.5000
Au  0.5000  0.5000  0.5000

Electronic total energy ... -3.97 eV per atom
Energy relative to the elements, uncorrected ... 3.7 eV/f.u.

# 3
Here is a geometry-optimized Sc2BAu structure from Alexandria. Energies are from PBEsol.

abc: 8.7889 8.7889 8.7889
angles: 22.39 22.39 22.39
Positions (direct):
Sc  0.0913  0.0913  0.0913
Sc  0.9087  0.9087  0.9087
B  0.0000  0.0000  0.0000
Au  0.5000  0.5000  0.5000

Electronic total energy ... -5.37 eV per atom
Calculated formation energy ... 0.6711 eV per atom

# 4
Here is a geometry-optimized SiB3Au structure from Alexandria. Energies are from PBEsol.

abc: 3.9938 3.9938 3.9938
angles: 90.00 90.00 90.00
Positions (direct):
Si  0.0000  0.0000  0.0000
B  0.0000  0.0000  0.5000
B  0.0000  0.5000  0.0000
B  0.5000  0.0000  0.0000
Au  0.5000  0.5000  0.5000

Electronic total energy ... -4.57 eV per atom
Energy relative to the elements, uncorrected ... 7.9 eV/f.u.

# 5
Here is a geometry-optimized Si2BAu structure from Alexandria. Energies are from PBEsol.

abc: 5.8302 5.8302 5.8302
angles: 125.13 125.13 81.33
Positions (direct):
Si  0.0519  0.1250  0.4269
Si  0.3750  0.9481  0.0731
Si  0.6981  0.6250  0.5731
Si  0.8750  0.3019  0.9269
B  0.0000  0.0000  0.0000
B  0.7500  0.2500  0.5000
Au  0.2500  0.7500  0.5000
Au  0.5000  0.5000  0.0000

Electronic total energy ... -5.42 eV per atom
Energy relative to the elements, uncorrected ... 0.8 eV/f.u.

# 6
Here is a geometry-optimized SrBAu2 structure from Alexandria. Energies are from PBEsol.

abc: 7.7732 7.7732 7.7732
angles: 140.88 140.88 56.52
Positions (direct):
Sr  0.3750  0.6250  0.7500
Sr  0.6250  0.3750  0.2500
B  0.1250  0.8750  0.2500
B  0.8750  0.1250  0.7500
Au  0.0000  0.0000  0.0000
Au  0.0000  0.0000  0.5000
Au  0.0000  0.5000  0.0000
Au  0.5000  0.0000  0.5000

Electronic total energy ... -4.30 eV per atom
Calculated formation energy ... -0.1229 eV per atom

Let's list magnetic moment in order: 0.000; 0.000; 0.243; 0.000; 0.000; 0.000 μB/cell.